(1)
This record from the Alexandria database describes a crystal of CaReNi2N relaxed with PBEsol. The functional is meta-GGA SCAN.

**M_tot**: 3.89 μB per formula unit
**Formation energy from raw total energies**: 3461 meV/atom
**Space group**: P4/mmm (123)
**Raw total energy**: -21.019 eV per atom
**Crystal system**: tetragonal

abc: 4.127 4.127 5.165
angles: 90.00 90.00 90.00
Fractional positions:
Ca 0.000 0.000 0.000
Re 0.000 0.000 0.500
Ni 0.000 0.500 0.000
Ni 0.500 0.000 0.000
N 0.500 0.500 0.500

---

(2)
This record from the Alexandria database describes a crystal of CaReNiN2 relaxed with PBEsol. The functional is meta-GGA SCAN.

**M_tot**: 0.87 μB per formula unit
**Formation energy from raw total energies**: 1918 meV/atom
**Space group**: P4/mmm (123)
**Raw total energy**: -21.186 eV per atom
**Crystal system**: tetragonal

abc: 3.830 3.830 4.432
angles: 90.00 90.00 90.00
Fractional positions:
Ca 0.000 0.000 0.000
Re 0.500 0.500 0.000
Ni 0.000 0.000 0.500
N 0.000 0.500 0.500
N 0.500 0.000 0.500

---

(3)
This record from the Alexandria database describes a crystal of CaPNO2 relaxed with PBEsol. The functional is meta-GGA SCAN.

**M_tot**: 0.00 μB per formula unit
**Formation energy from raw total energies**: -75 meV/atom
**Space group**: P4/mmm (123)
**Raw total energy**: -8.438 eV per atom
**Crystal system**: tetragonal

abc: 4.240 4.240 3.315
angles: 90.00 90.00 90.00
Fractional positions:
Ca 0.000 0.000 0.000
P 0.500 0.500 0.000
N 0.500 0.500 0.500
O 0.000 0.500 0.500
O 0.500 0.000 0.500

---

Copy entry 2 word for word.
This record from the Alexandria database describes a crystal of CaReNiN2 relaxed with PBEsol. The functional is meta-GGA SCAN.

**M_tot**: 0.87 μB per formula unit
**Formation energy from raw total energies**: 1918 meV/atom
**Space group**: P4/mmm (123)
**Raw total energy**: -21.186 eV per atom
**Crystal system**: tetragonal

abc: 3.830 3.830 4.432
angles: 90.00 90.00 90.00
Fractional positions:
Ca 0.000 0.000 0.000
Re 0.500 0.500 0.000
Ni 0.000 0.000 0.500
N 0.000 0.500 0.500
N 0.500 0.000 0.500